## Er6Mg2Cd (PBE)

Data for a geometry-optimized Er6Mg2Cd structure.

Computed properties:
formation enthalpy at 0 K = -0.047 eV/atom
total DFT energy (no corrections) = -63.8 eV/cell
space group = P4_2/mnm (136)

Lattice parameters (Å, degrees): 5.110 9.973 9.974 90.00 90.01 90.00
Fractional coordinates of all 18 atoms:
Mg: 0.000 0.696 0.196
Mg: 0.000 0.304 0.804
Mg: 0.500 0.804 0.696
Mg: 0.500 0.196 0.304
Cd: 0.500 0.500 0.000
Cd: 0.000 0.000 0.500
Er: 0.500 0.129 0.629
Er: 0.000 0.020 0.174
Er: 0.000 0.371 0.129
Er: 0.500 0.520 0.326
Er: 0.500 0.826 0.020
Er: 0.000 0.674 0.520
Er: 0.000 0.326 0.480
Er: 0.000 0.629 0.871
Er: 0.500 0.174 0.980
Er: 0.000 0.980 0.826
Er: 0.500 0.871 0.371
Er: 0.500 0.480 0.674

## TlAg2GeB (PBE)

Data for a geometry-optimized TlAg2GeB structure.

Computed properties:
formation enthalpy at 0 K = 0.484 eV/atom
total DFT energy (no corrections) = -16.9 eV/cell
space group = P4/mmm (123)

Lattice parameters (Å, degrees): 4.637 4.445 4.637 90.00 90.00 90.00
Fractional coordinates of all 5 atoms:
Ge: 0.000 0.500 0.000
Ag: 0.000 0.000 0.500
Ag: 0.500 0.000 0.000
B: 0.000 0.000 0.000
Tl: 0.500 0.500 0.500

## KPuPd2 (PBE)

Data for a geometry-optimized KPuPd2 structure.

Computed properties:
formation enthalpy at 0 K = -0.178 eV/atom
total DFT energy (no corrections) = -26.5 eV/cell
space group = P4/mmm (123)

Lattice parameters (Å, degrees): 3.473 3.473 8.264 90.00 90.00 90.00
Each line ends with the local moment (μB).
Fractional coordinates of all 4 atoms:
K: 0.500 0.500 0.500  0.00
Pu: 0.500 0.500 0.000  5.04
Pd: 0.000 0.000 0.801  -0.07
Pd: 0.000 0.000 0.199  -0.07

## Th2ZnCu (PBE)

Data for a geometry-optimized Th2ZnCu structure.

Computed properties:
formation enthalpy at 0 K = -0.141 eV/atom
total DFT energy (no corrections) = -41.6 eV/cell
space group = P2_1/m (11)

Lattice parameters (Å, degrees): 4.320 6.219 7.431 107.10 90.00 90.00
Fractional coordinates of all 8 atoms:
Cu: 0.250 0.378 0.721
Cu: 0.750 0.622 0.279
Th: 0.250 0.806 0.570
Th: 0.750 0.188 0.916
Th: 0.250 0.812 0.084
Th: 0.750 0.194 0.430
Zn: 0.750 0.624 0.783
Zn: 0.250 0.376 0.217

## ScTlOs2 (PBE)

Data for a geometry-optimized ScTlOs2 structure.

Computed properties:
formation enthalpy at 0 K = 0.419 eV/atom
total DFT energy (no corrections) = -29.5 eV/cell
space group = Pmmm (47)

Lattice parameters (Å, degrees): 2.999 4.141 5.958 90.00 90.00 90.00
Fractional coordinates of all 4 atoms:
Sc: 0.500 0.500 0.250
Os: 0.000 0.000 0.048
Os: 0.000 0.000 0.452
Tl: 0.500 0.500 0.750

## Pr5Zn4Sn (PBE)

Data for a geometry-optimized Pr5Zn4Sn structure.

Computed properties:
formation enthalpy at 0 K = -0.376 eV/atom
total DFT energy (no corrections) = -36.8 eV/cell
space group = P4/mmm (123)

Lattice parameters (Å, degrees): 3.714 3.714 19.170 90.00 90.00 90.00
Fractional coordinates of all 10 atoms:
Sn: 0.000 0.000 0.000
Zn: 0.000 0.000 0.212
Zn: 0.000 0.000 0.598
Zn: 0.000 0.000 0.402
Zn: 0.000 0.000 0.788
Pr: 0.500 0.500 0.306
Pr: 0.500 0.500 0.694
Pr: 0.500 0.500 0.500
Pr: 0.500 0.500 0.889
Pr: 0.500 0.500 0.111

## CsHf2Ge (PBE)

Data for a geometry-optimized CsHf2Ge structure.

Computed properties:
formation enthalpy at 0 K = 0.937 eV/atom
total DFT energy (no corrections) = -43.3 eV/cell
space group = I-42d (122)

Lattice parameters (Å, degrees): 5.607 5.607 10.321 74.24 74.24 90.00
Fractional coordinates of all 8 atoms:
Cs: 0.750 0.250 0.500
Cs: 0.000 0.000 0.000
Hf: 0.362 0.125 0.250
Hf: 0.875 0.612 0.750
Hf: 0.388 0.625 0.250
Hf: 0.375 0.638 0.750
Ge: 0.250 0.750 0.500
Ge: 0.500 0.500 0.000

## Ta2CoW (PBE)

Data for a geometry-optimized Ta2CoW structure.

Computed properties:
formation enthalpy at 0 K = 0.078 eV/atom
total DFT energy (no corrections) = -43.5 eV/cell
space group = Immm (71)

Lattice parameters (Å, degrees): 5.072 5.072 5.072 142.25 126.30 67.50
Each line ends with the local moment (μB).
Fractional coordinates of all 4 atoms:
Co: 0.250 0.750 0.500  0.23
Ta: 0.007 0.007 0.000  -0.01
Ta: 0.493 0.493 0.000  -0.01
W: 0.750 0.250 0.500  0.03

## Rb2CuTeO4 (PBE)

Data for a geometry-optimized Rb2CuTeO4 structure.

Computed properties:
formation energy (no corrections) = -1.056 eV per atom
total DFT energy (no corrections) = -37.5 eV/cell
space group = I-4 (82)

Lattice parameters (Å, degrees): 5.899 5.899 5.899 98.11 115.43 115.43
Fractional coordinates of all 8 atoms:
Rb: 0.000 0.000 0.000
Rb: 0.500 0.750 0.250
Te: 0.000 0.500 0.500
O: 0.645 0.412 0.520
O: 0.355 0.875 0.767
O: 0.108 0.233 0.588
O: 0.892 0.480 0.125
Cu: 0.500 0.250 0.750

## Ba3LiIn2 (PBE)

Data for a geometry-optimized Ba3LiIn2 structure.

Computed properties:
formation enthalpy at 0 K = -0.277 eV/atom
total DFT energy (no corrections) = -14.8 eV/cell
space group = Cmmm (65)

Lattice parameters (Å, degrees): 4.349 6.045 9.539 108.47 90.00 90.00
Fractional coordinates of all 6 atoms:
Ba: 0.500 0.829 0.658
Ba: 0.500 0.500 0.000
Ba: 0.500 0.171 0.342
Li: 0.000 0.000 0.000
In: 0.000 0.336 0.673
In: 0.000 0.664 0.327

## TbPm2Tl2 (PBE)

Data for a geometry-optimized TbPm2Tl2 structure.

Computed properties:
formation enthalpy at 0 K = -0.289 eV/atom
total DFT energy (no corrections) = -40.6 eV/cell
space group = Cmcm (63)

Lattice parameters (Å, degrees): 4.481 5.003 13.300 90.00 99.70 90.00
Fractional coordinates of all 10 atoms:
Tb: 0.856 0.750 0.713
Tb: 0.144 0.250 0.287
Pm: 0.239 0.750 0.478
Pm: 0.951 0.250 0.901
Pm: 0.049 0.750 0.099
Pm: 0.761 0.250 0.522
Tl: 0.452 0.750 0.905
Tl: 0.350 0.250 0.700
Tl: 0.650 0.750 0.300
Tl: 0.548 0.250 0.095

## PuTi2Mn (PBE)

Data for a geometry-optimized PuTi2Mn structure.

Computed properties:
formation enthalpy at 0 K = -0.036 eV/atom
total DFT energy (no corrections) = -39.4 eV/cell
space group = P4/mmm (123)

Lattice parameters (Å, degrees): 3.003 3.003 7.462 90.00 90.00 90.00
Each line ends with the local moment (μB).
Fractional coordinates of all 4 atoms:
Pu: 0.500 0.500 0.500  5.06
Ti: 0.000 0.000 0.808  -0.11
Ti: 0.000 0.000 0.192  -0.11
Mn: 0.500 0.500 0.000  0.27

> What is the total DFT energy (no corrections) in the third record?

-26.5 eV/cell

Please write out number 1 again, unchanged.
## Er6Mg2Cd (PBE)

Data for a geometry-optimized Er6Mg2Cd structure.

Computed properties:
formation enthalpy at 0 K = -0.047 eV/atom
total DFT energy (no corrections) = -63.8 eV/cell
space group = P4_2/mnm (136)

Lattice parameters (Å, degrees): 5.110 9.973 9.974 90.00 90.01 90.00
Fractional coordinates of all 18 atoms:
Mg: 0.000 0.696 0.196
Mg: 0.000 0.304 0.804
Mg: 0.500 0.804 0.696
Mg: 0.500 0.196 0.304
Cd: 0.500 0.500 0.000
Cd: 0.000 0.000 0.500
Er: 0.500 0.129 0.629
Er: 0.000 0.020 0.174
Er: 0.000 0.371 0.129
Er: 0.500 0.520 0.326
Er: 0.500 0.826 0.020
Er: 0.000 0.674 0.520
Er: 0.000 0.326 0.480
Er: 0.000 0.629 0.871
Er: 0.500 0.174 0.980
Er: 0.000 0.980 0.826
Er: 0.500 0.871 0.371
Er: 0.500 0.480 0.674

What did the sixth record say?
## Pr5Zn4Sn (PBE)

Data for a geometry-optimized Pr5Zn4Sn structure.

Computed properties:
formation enthalpy at 0 K = -0.376 eV/atom
total DFT energy (no corrections) = -36.8 eV/cell
space group = P4/mmm (123)

Lattice parameters (Å, degrees): 3.714 3.714 19.170 90.00 90.00 90.00
Fractional coordinates of all 10 atoms:
Sn: 0.000 0.000 0.000
Zn: 0.000 0.000 0.212
Zn: 0.000 0.000 0.598
Zn: 0.000 0.000 0.402
Zn: 0.000 0.000 0.788
Pr: 0.500 0.500 0.306
Pr: 0.500 0.500 0.694
Pr: 0.500 0.500 0.500
Pr: 0.500 0.500 0.889
Pr: 0.500 0.500 0.111